Al2BiBr: single point on PBEsol structure, SCAN.

Output
Its electronic total energy is -224.716 eV for the cell shown. The density of states at the Fermi level is 4.47 states/eV per cell. As for the space group: I-42d (122).

Unit cell a=5.5134 b=5.5134 c=8.8240 alpha=108.20 beta=108.20 gamma=90.00
Fractional positions:
Bi 0.2500 0.7500 0.5000
Bi 0.0000 0.0000 0.0000
Br 0.7500 0.2500 0.5000
Br 0.5000 0.5000 0.0000
Al 0.8471 0.3750 0.2500
Al 0.4029 0.8750 0.2500
Al 0.6250 0.5971 0.7500
Al 0.1250 0.1529 0.7500

AlBi2Se2BrCl4: single point on PBEsol structure, SCAN.

Output
Its electronic total energy is -533.546 eV for the cell shown. As for the space group: P-1 (2).

Unit cell a=6.8387 b=8.1787 c=11.3539 alpha=69.00 beta=72.62 gamma=72.56
Fractional positions:
Al 0.8328 0.7715 0.5402
Al 0.1672 0.2285 0.4598
Bi 0.7263 0.3860 0.8686
Bi 0.2737 0.6140 0.1314
Bi 0.2741 0.1220 0.1241
Bi 0.7259 0.8780 0.8759
Se 0.5655 0.2906 0.1342
Se 0.4345 0.7094 0.8658
Se 0.4422 0.2092 0.8576
Se 0.5578 0.7908 0.1424
Br 0.0000 0.0000 0.0000
Br 0.0000 0.5000 0.0000
Cl 0.0529 0.6505 0.6654
Cl 0.9471 0.3495 0.3346
Cl 0.9532 0.8446 0.3350
Cl 0.0468 0.1554 0.6650
Cl 0.6502 0.5735 0.5889
Cl 0.3498 0.4265 0.4111
Cl 0.3396 0.9878 0.4064
Cl 0.6604 0.0122 0.5936